## UAlHg (GGA-PBE)

Data for UAlHg after structural relaxation.

Geometry as POSCAR:
```
UAlHg
1.0
0.0000 3.4066 3.4066
3.4066 0.0000 3.4066
3.4066 3.4066 0.0000
U Al Hg
1 1 1
direct
0.0000 0.0000 0.0000
0.5000 0.5000 0.5000
0.7500 0.7500 0.7500
```

## Properties
ΔE to the lowest computed polymorph	0	meV per atom
electronic total energy	-13.915	eV for the cell shown
size of the total moment	0.996	μB/atom



## UAlHg (GGA-PBE)

Data for UAlHg after structural relaxation.

Geometry as POSCAR:
```
UAlHg
1.0
0.0000 3.4809 3.4809
3.4809 0.0000 3.4809
3.4809 3.4809 0.0000
U Al Hg
1 1 1
direct
0.0000 0.0000 0.0000
0.7500 0.7500 0.7500
0.2500 0.2500 0.2500
```

## Properties
ΔE to the lowest computed polymorph	295	meV per atom
electronic total energy	-13.030	eV for the cell shown
size of the total moment	0.956	μB/atom



## YAlHg (GGA-PBE)

Data for YAlHg after structural relaxation.

Geometry as POSCAR:
```
YAlHg
1.0
0.0000 3.4706 3.4706
3.4706 0.0000 3.4706
3.4706 3.4706 0.0000
Y Al Hg
1 1 1
direct
0.0000 0.0000 0.0000
0.7500 0.7500 0.7500
0.2500 0.2500 0.2500
```

## Properties
ΔE to the lowest computed polymorph	582	meV per atom
electronic total energy	-10.204	eV for the cell shown
size of the total moment	0.002	μB/atom



## YAl2Hg (GGA-PBE)

Data for YAl2Hg after structural relaxation.

Geometry as POSCAR:
```
YAl2Hg
1.0
0.0000 3.5100 3.5100
3.5100 0.0000 3.5100
3.5100 3.5100 0.0000
Y Al Hg
1 2 1
direct
0.0000 0.0000 0.0000
0.2500 0.2500 0.2500
0.5000 0.5000 0.5000
0.7500 0.7500 0.7500
```

## Properties
electronic total energy	-14.804	eV for the cell shown
size of the total moment	0.000	μB/atom



## YAlHg (GGA-PBE)

Data for YAlHg after structural relaxation.

Geometry as POSCAR:
```
YAlHg
1.0
0.0000 3.3564 3.3564
3.3564 0.0000 3.3564
3.3564 3.3564 0.0000
Y Al Hg
1 1 1
direct
0.0000 0.0000 0.0000
0.5000 0.5000 0.5000
0.7500 0.7500 0.7500
```

## Properties
ΔE to the lowest computed polymorph	129	meV per atom
electronic total energy	-11.563	eV for the cell shown
size of the total moment	0.001	μB/atom



## YAlHg (GGA-PBE)

Data for YAlHg after structural relaxation.

Geometry as POSCAR:
```
YAlHg
1.0
-2.3129 3.6505 4.0139
2.3129 -3.6505 4.0139
2.3129 3.6505 -4.0139
Y Al Hg
2 2 2
direct
0.0000 0.0000 0.0000
0.5483 0.0483 0.5000
0.3975 0.6893 0.7082
0.9812 0.6893 0.2918
0.1295 0.3589 0.7706
0.5883 0.3589 0.2294
```

## Properties
ΔE to the lowest computed polymorph	0	meV per atom
electronic total energy	-23.898	eV for the cell shown
size of the total moment	0.039	μB/atom



## AlZnHg2 (GGA-PBE)

Data for AlZnHg2 after structural relaxation.

Geometry as POSCAR:
```
AlZnHg2
1.0
0.0000 3.5014 3.5014
3.5014 0.0000 3.5014
3.5014 3.5014 0.0000
Al Zn Hg
1 1 2
direct
0.0000 0.0000 0.0000
0.2500 0.2500 0.2500
0.5000 0.5000 0.5000
0.7500 0.7500 0.7500
```

## Properties
electronic total energy	-4.665	eV for the cell shown



## Zr3Al2Hg2 (GGA-PBE)

Data for Zr3Al2Hg2 after structural relaxation.

Geometry as POSCAR:
```
Zr3Al2Hg2
1.0
2.3972 1.3840 7.9000
-2.3972 1.3840 7.9000
0.0000 -2.7681 7.9000
Zr Al Hg
3 2 2
direct
0.0000 0.0000 0.0000
0.2507 0.2507 0.2507
0.7484 0.7484 0.7484
0.3767 0.3767 0.3767
0.8713 0.8713 0.8713
0.1315 0.1315 0.1315
0.6101 0.6101 0.6101
```

## Properties
electronic total energy	-33.997	eV for the cell shown
size of the total moment	0.000	μB/atom



## Zr3AlHg2 (GGA-PBE)

Data for Zr3AlHg2 after structural relaxation.

Geometry as POSCAR:
```
Zr3AlHg2
1.0
3.1074 0.0000 0.0000
0.0000 3.1074 0.0000
0.0000 0.0000 12.8688
Zr Al Hg
3 1 2
direct
0.0000 0.0000 0.0000
0.0000 0.0000 0.3450
0.0000 0.0000 0.6550
0.5000 0.5000 0.5000
0.5000 0.5000 0.1700
0.5000 0.5000 0.8300
```

## Properties
electronic total energy	-31.678	eV for the cell shown
size of the total moment	0.001	μB/atom



## Zr2AlHg (GGA-PBE)

Data for Zr2AlHg after structural relaxation.

Geometry as POSCAR:
```
Zr2AlHg
1.0
0.0000 3.4875 3.4875
3.4875 0.0000 3.4875
3.4875 3.4875 0.0000
Zr Al Hg
2 1 1
direct
0.0000 0.0000 0.0000
0.2500 0.2500 0.2500
0.5000 0.5000 0.5000
0.7500 0.7500 0.7500
```

## Properties
electronic total energy	-20.357	eV for the cell shown
size of the total moment	0.572	μB/atom



## HoAl (GGA-PBE)

Data for HoAl after structural relaxation.

Geometry as POSCAR:
```
HoAl
1.0
5.2208 0.0000 0.0000
-2.6104 4.5213 0.0000
0.0000 0.0000 5.9174
Ho Al
2 2
direct
0.3333 0.6667 0.2500
0.6667 0.3333 0.7500
0.3333 0.6667 0.7500
0.6667 0.3333 0.2500
```

## Properties
electronic total energy	-14.339	eV for the cell shown
size of the total moment	0.179	μB/atom



## Ho3Al (GGA-PBE)

Data for Ho3Al after structural relaxation.

Geometry as POSCAR:
```
Ho3Al
1.0
6.7889 0.0000 0.0000
-3.3945 5.8794 0.0000
0.0000 0.0000 5.2906
Ho Al
6 2
direct
0.1743 0.3485 0.2500
0.1743 0.8257 0.2500
0.3485 0.1743 0.7500
0.6515 0.8257 0.2500
0.8257 0.1743 0.7500
0.8257 0.6515 0.7500
0.3333 0.6667 0.7500
0.6667 0.3333 0.2500
```

## Properties
electronic total energy	-36.551	eV for the cell shown
size of the total moment	0.002	μB/atom



## HoAl (GGA-PBE)

Data for HoAl after structural relaxation.

Geometry as POSCAR:
```
HoAl
1.0
0.0000 3.3704 3.3704
3.3704 0.0000 3.3704
3.3704 3.3704 0.0000
Ho Al
1 1
direct
0.0000 0.0000 0.0000
0.2500 0.2500 0.2500
```

## Properties
electronic total energy	-6.366	eV for the cell shown
size of the total moment	0.008	μB/atom



## Ho3Al (GGA-PBE)

Data for Ho3Al after structural relaxation.

Geometry as POSCAR:
```
Ho3Al
1.0
-2.3297 2.3297 4.8757
2.3297 -2.3297 4.8757
2.3297 2.3297 -4.8757
Ho Al
3 1
direct
0.0000 0.0000 0.0000
0.2500 0.7500 0.5000
0.7500 0.2500 0.5000
0.5000 0.5000 0.0000
```

## Properties
electronic total energy	-18.074	eV for the cell shown
size of the total moment	0.015	μB/atom



## HoAl (GGA-PBE)

Data for HoAl after structural relaxation.

Geometry as POSCAR:
```
HoAl
1.0
3.3951 0.0000 0.0000
-1.6976 2.9403 0.0000
0.0000 0.0000 4.9297
Ho Al
1 1
direct
0.0000 0.0000 0.0000
0.3333 0.6667 0.5000
```

## Properties
electronic total energy	-8.501	eV for the cell shown
size of the total moment	0.001	μB/atom



## HoAl5 (GGA-PBE)

Data for HoAl5 after structural relaxation.

Geometry as POSCAR:
```
HoAl5
1.0
5.4899 0.0000 0.0000
-2.7450 4.7544 0.0000
0.0000 0.0000 4.3948
Ho Al
1 5
direct
0.0000 0.0000 0.0000
0.0000 0.5000 0.5000
0.3333 0.6667 0.0000
0.5000 0.0000 0.5000
0.5000 0.5000 0.5000
0.6667 0.3333 0.0000
```

## Properties
electronic total energy	-24.301	eV for the cell shown
size of the total moment	0.002	μB/atom



## HoAl (GGA-PBE)

Data for HoAl after structural relaxation.

Geometry as POSCAR:
```
HoAl
1.0
0.0000 2.9921 2.9921
2.9921 0.0000 2.9921
2.9921 2.9921 0.0000
Ho Al
1 1
direct
0.0000 0.0000 0.0000
0.5000 0.5000 0.5000
```

## Properties
electronic total energy	-8.129	eV for the cell shown
size of the total moment	0.158	μB/atom



## HoAl2 (GGA-PBE)

Data for HoAl2 after structural relaxation.

Geometry as POSCAR:
```
HoAl2
1.0
5.7513 0.0000 0.0000
0.0000 5.7513 0.0000
0.0000 0.0000 5.5401
Ho Al
2 4
direct
0.0000 0.0000 0.0000
0.5000 0.5000 0.5000
0.1520 0.1520 0.5000
0.3480 0.6520 0.0000
0.6520 0.3480 0.0000
0.8480 0.8480 0.5000
```

## Properties
electronic total energy	-20.742	eV for the cell shown
size of the total moment	0.002	μB/atom



## HoAl (GGA-PBE)

Data for HoAl after structural relaxation.

Geometry as POSCAR:
```
HoAl
1.0
5.8233 0.0000 0.0000
0.0000 11.3778 0.0000
0.0000 0.0000 5.5950
Ho Al
8 8
direct
0.1020 0.1688 0.2500
0.1020 0.3312 0.7500
0.3397 0.0163 0.7500
0.3397 0.4837 0.2500
0.6603 0.5163 0.7500
0.6603 0.9837 0.2500
0.8980 0.6688 0.2500
0.8980 0.8312 0.7500
0.1587 0.5977 0.7500
0.1587 0.9023 0.2500
0.4292 0.7500 0.0000
0.4292 0.7500 0.5000
0.5708 0.2500 0.0000
0.5708 0.2500 0.5000
0.8413 0.0977 0.7500
0.8413 0.4023 0.2500
```

## Properties
electronic total energy	-73.235	eV for the cell shown
size of the total moment	0.000	μB/atom



## HoAl2 (GGA-PBE)

Data for HoAl2 after structural relaxation.

Geometry as POSCAR:
```
HoAl2
1.0
0.0000 3.3969 3.3969
3.3969 0.0000 3.3969
3.3969 3.3969 0.0000
Ho Al
1 2
direct
0.0000 0.0000 0.0000
0.2500 0.2500 0.2500
0.7500 0.7500 0.7500
```

## Properties
electronic total energy	-11.314	eV for the cell shown
size of the total moment	0.001	μB/atom